Arrangement a

Density functional theory data (SCAN) for Ca2AgCl at its PBEsol-relaxed geometry.

Properties
The space-group type is No. 38. Its magnetic moment is 0.00 μB/f.u.

Lattice parameters (Å, degrees): 3.7450 4.5814 6.3729 90.00 107.09 90.00
Closest atoms and distances in Å follow each position.
Positions (direct):
Ca 0.2682 0.5000 0.5364  1 Cl 2.76, 4 Ag 2.99
Ca 0.0052 0.0000 0.0104  4 Cl 2.96
Cl 0.4944 0.5000 0.9889  5 Ca 2.76-2.96
Ag 0.7321 0.0000 0.4643  7 Ca 2.99-3.34

=====

Arrangement b

Density functional theory data (SCAN) for Ca2AgCl at its PBEsol-relaxed geometry.

Properties
The space-group type is No. 166. Its magnetic moment is 0.00 μB/f.u.

Lattice parameters (Å, degrees): 3.9640 3.9640 8.0175 75.69 75.69 60.00
Closest atoms and distances in Å follow each position.
Positions (direct):
Ca 0.2475 0.2475 0.2574  3 Ag 2.95, 3 Cl 3.02
Ca 0.7525 0.7525 0.7426  3 Ag 2.95, 3 Cl 3.02
Cl 0.0000 0.0000 0.0000  6 Ca 3.02
Ag 0.5000 0.5000 0.5000  6 Ca 2.95

=====

It comes down to arrangement b, which is 0.094 eV/atom more stable than the next structure.